DFT (PBE) results for CePr3Tl6 after structural relaxation.

Calculated values
As for the formation energy: -0.221 eV per atom. The value obtained for the spin magnetization is 1.139 μB/f.u.

Cell: 9.1658 9.1658 7.4589 Å, 90.00 90.00 96.58°
Atoms (fractional coordinates):
Ce 0.2069 0.7931 0.5000
Ce 0.7931 0.2069 0.0000
Pr 0.1704 0.2555 0.4977
Pr 0.2555 0.1704 0.9977
Pr 0.4281 0.5719 0.7948
Pr 0.5719 0.4281 0.2948
Pr 0.7445 0.8296 0.4977
Pr 0.8296 0.7445 0.9977
Tl 0.0061 0.9939 0.2452
Tl 0.0758 0.4769 0.8067
Tl 0.2015 0.7985 0.9773
Tl 0.2388 0.5014 0.2011
Tl 0.4769 0.0758 0.3067
Tl 0.4986 0.7612 0.2011
Tl 0.5014 0.2388 0.7011
Tl 0.5231 0.9242 0.8067
Tl 0.7612 0.4986 0.7011
Tl 0.7985 0.2015 0.4773
Tl 0.9242 0.5231 0.3067
Tl 0.9939 0.0061 0.7452